Record 1
VASP calculation (GGA-PBE) on a relaxed LiScTlCu crystal.

The offset from the most stable computed form is 121.3 meV/atom. As for the total DFT energy (no corrections): -59.0 eV for the cell shown. The calculation puts the calculated density at 7.51 g/cm3.

The structure belongs to space group F-43m (No. 216); the cell edges are 6.564, 6.564 and 6.564 Å and the angles 90.00°, 90.00° and 90.00°. The distinct sites, in fractional coordinates, are Li at (0.000, 0.000, 0.000), Sc at (0.250, 0.250, 0.250), Tl at (0.000, 0.000, 0.500) and Cu at (0.250, 0.250, 0.750).



Record 2
VASP calculation (GGA-PBE) on a relaxed LiScZn2Cu4 crystal.

As for the total DFT energy (no corrections): -26.9 eV for the cell shown. The calculation puts the calculated density at 6.74 g/cm3.

The structure belongs to space group P4/mmm (No. 123); the cell edges are 4.245, 4.245 and 5.970 Å and the angles 90.00°, 90.00° and 90.00°. The distinct sites, in fractional coordinates, are Li at (0.000, 0.000, 0.000), Sc at (0.500, 0.500, 0.500), Zn at (0.000, 0.000, 0.500), Zn at (0.500, 0.500, 0.000) and Cu at (0.000, 0.500, 0.228).



Record 3
VASP calculation (GGA-PBE) on a relaxed LiCuSiSe3 crystal.

As for the total DFT energy (no corrections): -94.6 eV for the cell shown. The calculation puts the calculated density at 4.90 g/cm3.

The structure belongs to space group Cmcm (No. 63); the cell edges are 3.547, 12.569 and 10.190 Å and the angles 90.00°, 90.00° and 90.00°. The distinct sites, in fractional coordinates, are Li at (0.000, 0.224, 0.250), Cu at (0.000, 0.081, 0.750), Si at (0.000, 0.500, 0.000), Se at (0.000, 0.138, 0.532) and Se at (0.000, 0.439, 0.750).



Record 4
VASP calculation (GGA-PBE) on a relaxed LiCuSiTeSe2 crystal.

As for the total DFT energy (no corrections): -91.8 eV for the cell shown. The calculation puts the calculated density at 5.13 g/cm3.

The structure belongs to space group Cmcm (No. 63); the cell edges are 3.477, 13.144 and 10.875 Å and the angles 90.00°, 90.00° and 90.00°. The distinct sites, in fractional coordinates, are Li at (0.000, 0.230, 0.250), Cu at (0.000, 0.431, 0.750), Si at (0.000, 0.000, 0.000), Te at (0.000, 0.084, 0.750) and Se at (0.000, 0.368, 0.548).